1.
Here is an optimized crystal structure of LaSmMg2 from the Alexandria database. Energies are from GGA-PBE.

Lattice parameters (Å, degrees): 5.5218 5.5218 5.5218 60.00 60.00 60.00
With the nearest neighbours (Å) after each atom.
Fractional coordinates of all 4 atoms:
La 0.0000 0.0000 0.0000  8 Mg 3.38
Sm 0.5000 0.5000 0.5000  8 Mg 3.38
Mg 0.2500 0.2500 0.2500  4 La 3.38, 4 Sm 3.38
Mg 0.7500 0.7500 0.7500  4 La 3.38, 4 Sm 3.38

Results
**ΔH_f (0 K)**: -0.5 eV/f.u.
**Offset from the most stable computed form**: 0.0 kJ per mole of atoms
**DOS at the Fermi energy**: 3.8 states/eV per cell
**Symmetry**: Fm-3m (225)


2.
Here is an optimized crystal structure of MgCuSb from the Alexandria database. Energies are from GGA-PBE.

Lattice parameters (Å, degrees): 5.2962 5.3658 5.3673 75.03 60.62 60.61
With the nearest neighbours (Å) after each atom.
Fractional coordinates of all 6 atoms:
Mg 0.0000 0.0000 0.0000  4 Cu 2.79-2.84, 3 Sb 3.08-3.09
Mg 0.4994 0.6765 0.3235  4 Cu 2.79-2.84, 3 Sb 3.08-3.09
Cu 0.4112 0.1772 0.5010  2 Cu 2.65, 4 Sb 2.73-2.86, 4 Mg 2.79-2.84
Cu 0.9110 0.1782 0.5006  2 Cu 2.65, 4 Sb 2.74-2.85, 4 Mg 2.79-2.84
Sb 0.3249 0.3410 0.0118  4 Cu 2.73-2.85
Sb 0.8231 0.6889 0.6646  4 Cu 2.73-2.86

Results
**ΔE_f (raw)**: -0.11 eV per atom
**DOS at the Fermi energy**: 2.2 states/eV per cell
**Symmetry**: P1 (1)


3.
Here is an optimized crystal structure of NaPa2Ni2S6 from the Alexandria database. Energies are from GGA-PBE.

Lattice parameters (Å, degrees): 6.8969 6.9832 7.1501 90.01 118.73 118.35
With the nearest neighbours (Å) after each atom.
Fractional coordinates of all 11 atoms:
Na 0.0000 0.0000 0.0000  6 S 2.86-3.00
Pa 0.3455 0.0124 0.6736  6 S 2.65-2.70
Pa 0.6545 0.9876 0.3264  6 S 2.65-2.70
Ni 0.1314 0.4392 0.6653  3 S 2.19-2.20
Ni 0.8686 0.5608 0.3347  3 S 2.19-2.20
S 0.1506 0.2476 0.4374  1 Ni 2.20
S 0.1994 0.7572 0.2957  1 Ni 2.19
S 0.4860 0.7574 0.9254  1 Ni 2.20
S 0.5140 0.2426 0.0746  1 Ni 2.20
S 0.8006 0.2428 0.7043  1 Ni 2.19
S 0.8494 0.7524 0.5626  1 Ni 2.20

Results
**ΔE_f (raw)**: -1.17 eV per atom
**DOS at the Fermi energy**: 8.0 states/eV per cell
**Symmetry**: P-1 (2)


4.
Here is an optimized crystal structure of Sr2W from the Alexandria database. Energies are from GGA-PBE.

Lattice parameters (Å, degrees): 7.8341 7.8341 7.8341 90.00 90.00 90.00
With the nearest neighbours (Å) after each atom.
Fractional coordinates of all 12 atoms:
Sr 0.1572 0.1572 0.1572  3 W 3.20
Sr 0.1572 0.3428 0.6572  3 W 3.20
Sr 0.3428 0.6572 0.1572  3 W 3.20
Sr 0.3428 0.8428 0.6572  3 W 3.20
Sr 0.6572 0.1572 0.3428  3 W 3.20
Sr 0.6572 0.3428 0.8428  3 W 3.20
Sr 0.8428 0.6572 0.3428  3 W 3.20
Sr 0.8428 0.8428 0.8428  3 W 3.20
W 0.0000 0.0000 0.5000  6 Sr 3.20
W 0.0000 0.5000 0.0000  6 Sr 3.20
W 0.5000 0.0000 0.0000  6 Sr 3.20
W 0.5000 0.5000 0.5000  6 Sr 3.20

Results
**ΔH_f (0 K)**: 4.7 eV/f.u.
**Offset from the most stable computed form**: 91.2 kJ per mole of atoms
**DOS at the Fermi energy**: 22.8 states/eV per cell
**Symmetry**: Pa-3 (205)


5.
Here is an optimized crystal structure of LiCdAs3 from the Alexandria database. Energies are from GGA-PBE.

Lattice parameters (Å, degrees): 9.3234 9.3234 9.3234 34.61 34.61 34.61
With the nearest neighbours (Å) after each atom.
Fractional coordinates of all 10 atoms:
Li 0.0000 0.0000 0.0000  6 As 2.78-2.85
Li 0.5000 0.5000 0.5000  6 As 2.78-2.85
Cd 0.1841 0.1841 0.1841  6 As 2.84-2.89
Cd 0.6841 0.6841 0.6841  6 As 2.84-2.89
As 0.1046 0.3484 0.8153  2 As 2.56, 2 Li 2.78-2.85, 1 Cd 2.84
As 0.3153 0.8484 0.6046  2 As 2.56, 2 Li 2.78-2.85, 1 Cd 2.84
As 0.3484 0.8153 0.1046  2 As 2.56, 2 Li 2.78-2.85, 1 Cd 2.84
As 0.6046 0.3153 0.8484  2 As 2.56, 2 Li 2.78-2.85, 1 Cd 2.84
As 0.8153 0.1046 0.3484  2 As 2.56, 2 Li 2.78-2.85, 1 Cd 2.84
As 0.8484 0.6046 0.3153  2 As 2.56, 2 Li 2.78-2.85, 1 Cd 2.84

Results
**ΔH_f (0 K)**: -0.1 eV/f.u.
**Offset from the most stable computed form**: 0.0 kJ per mole of atoms
**DOS at the Fermi energy**: 4.1 states/eV per cell
**Symmetry**: R3c (161)